First-principles (PBE-GGA) data for a geometry-optimized CsNaTl4In2 structure, as listed in Alexandria.

Summary:
As for the uncorrected energy: -17.79 eV/cell. The calculation puts the magnetization at 0.0 μB/f.u. The theoretical density comes out at 7.18 g/cm3.

Cell: 11.8703 11.8703 11.8703 Å, 25.77 25.77 25.77°
Sites, in units of the cell vectors:
Cs  0.0000  0.0000  0.0000
Na  0.5000  0.5000  0.5000
Tl  0.1322  0.1322  0.1322
Tl  0.4049  0.4049  0.4049
Tl  0.5951  0.5951  0.5951
Tl  0.8678  0.8678  0.8678
In  0.2342  0.2342  0.2342
In  0.7658  0.7658  0.7658

First-principles (PBE-GGA) data for a geometry-optimized Ac2GaBr structure, as listed in Alexandria.

Summary:
As for the uncorrected energy: -16.44 eV/cell. The energy relative to the lowest polymorph listed for this composition comes out at 0.14 eV per formula unit. The calculation puts the magnetization at 0.0 μB/f.u. The theoretical density comes out at 7.12 g/cm3. Its uncorrected formation energy is -85 kJ/mol of atoms.

Cell: 7.8715 7.8715 7.8715 Å, 34.65 34.65 34.65°
Sites, in units of the cell vectors:
Ac  0.2422  0.2422  0.2422
Ac  0.7578  0.7578  0.7578
Ga  0.5000  0.5000  0.5000
Br  0.0000  0.0000  0.0000

First-principles (PBE-GGA) data for a geometry-optimized Ce4NdSm3S8 structure, as listed in Alexandria.

Summary:
As for the uncorrected energy: -108.31 eV/cell. The calculation puts the magnetization at 2.9 μB/f.u. The theoretical density comes out at 6.36 g/cm3. Its uncorrected formation energy is -197 kJ/mol of atoms.

Cell: 8.0543 8.0543 8.0543 Å, 59.94 59.94 59.94°
Sites, in units of the cell vectors:
Ce  0.0000  0.0000  0.0000
Ce  0.0000  0.5000  0.5000
Ce  0.5000  0.0000  0.5000
Ce  0.5000  0.5000  0.0000
Nd  0.5000  0.5000  0.5000
Sm  0.0000  0.0000  0.5000
Sm  0.0000  0.5000  0.0000
Sm  0.5000  0.0000  0.0000
S  0.2474  0.7511  0.7511
S  0.2493  0.2493  0.2493
S  0.2489  0.2489  0.7526
S  0.2489  0.7526  0.2489
S  0.7511  0.2474  0.7511
S  0.7511  0.7511  0.2474
S  0.7507  0.7507  0.7507
S  0.7526  0.2489  0.2489

First-principles (PBE-GGA) data for a geometry-optimized Ac2Ge4Pt5 structure, as listed in Alexandria.

Summary:
As for the uncorrected energy: -65.15 eV/cell. The calculation puts the magnetization at 0.0 μB/f.u. The theoretical density comes out at 12.40 g/cm3.

Cell: 9.3254 8.1739 6.0140 Å, 80.62 59.86 39.52°
Sites, in units of the cell vectors:
Ac  0.1370  0.1370  0.8630
Ac  0.8630  0.8630  0.1370
Ge  0.2149  0.5339  0.4661
Ge  0.4661  0.7851  0.2149
Ge  0.5339  0.2149  0.7851
Ge  0.7851  0.4661  0.5339
Pt  0.0000  0.0000  0.5000
Pt  0.2500  0.2500  0.2500
Pt  0.5000  0.5000  0.0000
Pt  0.5000  0.5000  0.5000
Pt  0.7500  0.7500  0.7500

Which formula does entry 2 have? Ac2GaBr